{
  "formula": "Dy3Er2Ru2",
  "functional": "PBE",
  "state": "optimized geometry",
  "lattice_angstrom": [[3.878, 0.000, 0.000], [-1.939, 5.922, -0.232], [0.000, -3.039, 7.849]],
  "species": ["Dy", "Dy", "Dy", "Er", "Er", "Ru", "Ru"],
  "fractional_positions": [[0.379, 0.758, 0.571], [0.621, 0.242, 0.429], [0.500, 0.000, 0.000], [0.166, 0.332, 0.813], [0.834, 0.668, 0.187], [0.180, 0.359, 0.220], [0.820, 0.641, 0.780]],
  "dos_ef_per_ev_atom": 0.782,
  "delta_e_f_ev_per_atom": -0.343,
  "space_group": "No. 12"
}